Here is crystalline NiSb2TeO at its relaxed geometry from Alexandria. Energies are from PBE+U.

Properties
Calculated density ... 6.953 g/cm3
Total moment ... 1.15 μB/cell
D(E_F) ... 3.59 states/eV/cell
Energy above the most stable polymorph in this dataset ... 0.000 eV/atom
Electronic total energy ... -16.20 eV/cell
V ... 21.295 Å³ per atom

abc: 4.6684 4.6684 4.8854
angles: 90.00 90.00 90.00
Sites, in units of the cell vectors:
1 Ni 0.0000 0.0000 0.0000
2 Sb 0.0000 0.5000 0.5000
3 Sb 0.5000 0.0000 0.5000
4 Te 0.5000 0.5000 0.0000
5 O 0.5000 0.5000 0.5000